Record 1
Pm8MgTc2 PBE relaxed; ΔE_f = 0.036 eV/atom; crystal system = monoclinic
1.0
-6.252 -1.274 0.472
-0.318 -0.939 -6.739
1.125 -7.163 4.388
Pm Mg Tc
8 1 2
Direct
0.386 0.121 0.749 Pm
0.157 0.575 0.150 Pm
0.614 0.372 0.251 Pm
0.614 0.879 0.251 Pm
0.878 0.794 0.588 Pm
0.122 0.206 0.412 Pm
0.386 0.628 0.749 Pm
0.843 0.425 0.850 Pm
0.000 0.000 0.000 Mg
0.680 0.271 0.543 Tc
0.320 0.729 0.457 Tc

***

Record 2
Pm8Mg3Tc2 PBE relaxed; ΔE_f = 0.085 eV/atom; crystal system = orthorhombic
1.0
5.387 0.000 0.000
0.000 7.798 -4.258
0.000 -0.011 9.251
Pm Tc Mg
8 2 3
Direct
0.500 0.421 0.282 Pm
0.000 0.297 0.593 Pm
0.000 0.105 0.209 Pm
0.000 0.703 0.407 Pm
0.500 0.140 0.718 Pm
0.000 0.895 0.791 Pm
0.500 0.860 0.282 Pm
0.500 0.579 0.718 Pm
0.500 0.212 0.424 Tc
0.500 0.788 0.576 Tc
0.000 0.329 0.000 Mg
0.500 0.000 0.000 Mg
0.000 0.671 0.000 Mg

***

Record 3
Pm3Mg2Tc PBE relaxed; ΔE_f = -0.014 eV/atom; crystal system = monoclinic
1.0
-2.905 0.716 -4.196
3.394 -3.941 -6.164
-4.317 -6.623 1.858
Pm Mg Tc
6 4 2
Direct
0.176 0.648 0.212 Pm
0.824 0.352 0.212 Pm
0.824 0.352 0.788 Pm
0.500 0.000 0.780 Pm
0.500 0.000 0.220 Pm
0.176 0.648 0.788 Pm
0.000 0.000 0.500 Mg
0.000 0.000 0.000 Mg
0.665 0.671 0.500 Mg
0.335 0.329 0.500 Mg
0.660 0.682 0.000 Tc
0.340 0.318 0.000 Tc

***

Record 4
PmThMgTc PBE relaxed; ΔE_f = 0.075 eV/atom; crystal system = cubic
1.0
5.185 0.000 0.000
2.592 4.490 0.000
2.592 1.497 4.233
Mg Pm Th Tc
1 1 1 1
Direct
0.000 0.000 0.000 Mg
0.750 0.750 0.750 Pm
0.250 0.250 0.250 Th
0.500 0.500 0.500 Tc

***

Record 5
PmYMgTc PBE relaxed; ΔE_f = 0.038 eV/atom; crystal system = cubic
1.0
5.102 0.000 0.000
2.551 4.419 0.000
2.551 1.473 4.166
Pm Tc Mg Y
1 1 1 1
Direct
0.250 0.250 0.250 Pm
0.500 0.500 0.500 Tc
0.000 0.000 0.000 Mg
0.750 0.750 0.750 Y

***

Record 6
Pm2MgTe3 PBE relaxed; formation energy (no corrections) = -1.14 eV per atom; crystal system = trigonal
1.0
-3.417 5.274 4.789
2.200 0.466 7.574
4.519 6.667 2.398
Pm Te Mg
4 6 2
Direct
0.335 0.335 0.994 Pm
0.835 0.835 0.494 Pm
0.665 0.665 0.006 Pm
0.165 0.165 0.506 Pm
0.415 0.750 0.750 Te
0.915 0.585 0.250 Te
0.250 0.915 0.250 Te
0.750 0.085 0.750 Te
0.585 0.250 0.250 Te
0.085 0.415 0.750 Te
0.500 0.500 0.500 Mg
0.000 0.000 0.000 Mg

***

Record 7
Pm4MgTe3 PBE relaxed; formation energy (no corrections) = -1.01 eV per atom; crystal system = orthorhombic
1.0
4.363 0.000 0.000
0.000 7.414 -2.444
0.000 0.018 7.807
Mg Pm Te
1 4 3
Direct
0.500 0.000 0.000 Mg
0.500 0.251 0.749 Pm
0.000 0.254 0.254 Pm
0.000 0.746 0.746 Pm
0.500 0.749 0.251 Pm
0.500 0.500 0.500 Te
0.000 0.500 0.000 Te
0.000 0.000 0.500 Te

***

Record 8
PmMgTe PBE relaxed; formation energy (no corrections) = -0.68 eV per atom; crystal system = orthorhombic; ΔE to the lowest computed polymorph = 0 meV/atom
1.0
4.174 0.000 0.000
0.000 5.946 0.000
-2.087 0.000 7.283
Mg Te Pm
2 2 2
Direct
0.551 0.250 0.102 Mg
0.449 0.750 0.898 Mg
0.198 0.250 0.395 Te
0.802 0.750 0.605 Te
0.868 0.250 0.736 Pm
0.132 0.750 0.264 Pm